## Cu3Ag2 (PBE)

Data for a relaxed structure of Cu3Ag2.

Formation enthalpy at 0 K ... 0.095 eV per atom
Polymorph energy (0 for the lowest one) ... 53 meV per atom
Mass density ... 9.441 Mg/m³
SG ... No. 65
Total energy ... -3.2648 eV per atom

Unit cell a=9.866 b=9.866 c=3.794 alpha=90.00 beta=90.00 gamma=157.22
Positions (direct):
Ag: 0.802 0.198 0.000
Ag: 0.595 0.405 0.000
Ag: 0.405 0.595 0.000
Ag: 0.198 0.802 0.000
Cu: 0.000 0.000 0.000
Cu: 0.907 0.093 0.500
Cu: 0.698 0.302 0.500
Cu: 0.500 0.500 0.500
Cu: 0.302 0.698 0.500
Cu: 0.093 0.907 0.500